1.
DFT (GGA-PBE) results for crystalline NdGdCo2Sn2 at its relaxed geometry.

Unit cell a=4.4412 b=4.4412 c=6.8004 alpha=90.00 beta=90.00 gamma=90.00
Closest atoms and distances in Å follow each position.
Fractional coordinates of all 6 atoms:
Co 0.5000 0.0000 0.0031  4 Sn 2.62-2.63
Co 0.0000 0.5000 0.0031  4 Sn 2.62-2.63
Gd 0.0000 0.0000 0.2911  4 Co 2.96, 4 Sn 3.19
Nd 0.5000 0.5000 0.6982  4 Co 3.04, 5 Sn 3.21-3.34
Sn 0.5000 0.5000 0.2073  4 Co 2.62
Sn 0.0000 0.0000 0.7971  4 Co 2.63

Properties
E: -5.7367 eV/atom
space group: No. 99


2.
DFT (GGA-PBE) results for crystalline NdGdCo2Sn4 at its relaxed geometry.

Unit cell a=4.5102 b=9.3372 c=9.3372 alpha=27.45 beta=90.00 gamma=90.00
Closest atoms and distances in Å follow each position.
Fractional coordinates of all 8 atoms:
Co 0.5000 0.1815 0.1815  5 Sn 2.41-2.56
Co 0.0000 0.8181 0.8181  5 Sn 2.43-2.57
Gd 0.0000 0.6123 0.6123  10 Sn 3.31-3.65, 4 Co 3.40
Nd 0.5000 0.3888 0.3888  10 Sn 3.35-3.65, 4 Co 3.41
Sn 0.5000 0.0486 0.0486  1 Co 2.41
Sn 0.0000 0.2483 0.2483  4 Co 2.55-2.56
Sn 0.5000 0.7502 0.7502  4 Co 2.54-2.57
Sn 0.0000 0.9522 0.9522  1 Co 2.43

Properties
E: -5.3996 eV/atom
space group: No. 38


3.
DFT (GGA-PBE) results for crystalline NdGdTlCo2 at its relaxed geometry.

Unit cell a=3.9798 b=7.3669 c=7.3669 alpha=30.49 beta=90.00 gamma=90.00
Closest atoms and distances in Å follow each position.
Fractional coordinates of all 5 atoms:
Co 0.5000 0.2067 0.2067  2 Co 2.26
Co 0.5000 0.7882 0.7882  2 Co 2.26
Gd 0.0000 0.6388 0.6388  6 Co 2.91-2.94
Nd 0.0000 0.3630 0.3630  6 Co 2.97-2.98
Tl 0.5000 0.0034 0.0034  2 Co 2.89-3.06

Properties
E: -5.4388 eV/atom
space group: No. 38


4.
DFT (GGA-PBE) results for crystalline GdCo3Ni2 at its relaxed geometry.

Unit cell a=4.8625 b=4.8625 c=3.9736 alpha=90.00 beta=90.00 gamma=120.00
Closest atoms and distances in Å follow each position.
Fractional coordinates of all 6 atoms:
Co 0.5000 0.0000 0.5000  4 Co 2.43, 4 Ni 2.43
Co 0.0000 0.5000 0.5000  4 Co 2.43, 4 Ni 2.43
Co 0.5000 0.5000 0.5000  4 Co 2.43, 4 Ni 2.43
Gd 0.0000 0.0000 0.0000  6 Ni 2.81, 12 Co 3.14
Ni 0.6667 0.3333 0.0000  6 Co 2.43
Ni 0.3333 0.6667 0.0000  6 Co 2.43

Properties
E: -6.3630 eV/atom
formation enthalpy at 0 K: -0.178 eV/atom
space group: No. 191


5.
DFT (GGA-PBE) results for crystalline Gd2CoNi at its relaxed geometry.

Unit cell a=3.9177 b=5.6273 c=5.6273 alpha=40.33 beta=90.00 gamma=90.00
Closest atoms and distances in Å follow each position.
Fractional coordinates of all 4 atoms:
Co 0.0000 0.5692 0.5692  2 Ni 2.44
Gd 0.5000 0.1410 0.1410  4 Co 2.86, 3 Ni 2.94-3.07
Gd 0.0000 0.8579 0.8579  4 Ni 2.87, 3 Co 2.96-3.05
Ni 0.5000 0.4319 0.4319  2 Co 2.44

Properties
E: -5.7778 eV/atom
formation enthalpy at 0 K: -0.282 eV/atom
space group: No. 38


6.
DFT (GGA-PBE) results for crystalline GdCoNi at its relaxed geometry.

Unit cell a=6.7909 b=3.9450 c=7.4257 alpha=90.00 beta=90.00 gamma=90.00
Closest atoms and distances in Å follow each position.
Fractional coordinates of all 12 atoms:
Co 0.6352 0.7500 0.0579  4 Ni 2.43-2.60
Co 0.1352 0.7500 0.4421  4 Ni 2.43-2.60
Co 0.8648 0.2500 0.5579  4 Ni 2.43-2.60
Co 0.3648 0.2500 0.9421  4 Ni 2.43-2.60
Gd 0.9773 0.2500 0.1892  5 Ni 2.81-2.88, 3 Co 2.84-2.93
Gd 0.4773 0.2500 0.3108  5 Ni 2.81-2.88, 3 Co 2.84-2.93
Gd 0.5227 0.7500 0.6892  5 Ni 2.81-2.88, 3 Co 2.84-2.93
Gd 0.0227 0.7500 0.8108  5 Ni 2.81-2.88, 3 Co 2.84-2.93
Ni 0.2752 0.7500 0.1157  4 Co 2.43-2.60
Ni 0.7752 0.7500 0.3843  4 Co 2.43-2.60
Ni 0.2248 0.2500 0.6157  4 Co 2.43-2.60
Ni 0.7248 0.2500 0.8843  4 Co 2.43-2.60

Properties
E: -5.9254 eV/atom
formation enthalpy at 0 K: -0.149 eV/atom
space group: No. 62


7.
DFT (GGA-PBE) results for crystalline Gd3CoNi at its relaxed geometry.

Unit cell a=6.9193 b=6.9193 c=9.4943 alpha=107.72 beta=107.72 gamma=31.56
Closest atoms and distances in Å follow each position.
Fractional coordinates of all 10 atoms:
Co 0.2392 0.2392 0.2382  1 Ni 2.59, 4 Gd 2.72-2.82
Co 0.7608 0.7608 0.7618  1 Ni 2.59, 4 Gd 2.72-2.82
Gd 0.6347 0.6347 0.0020  4 Ni 2.87-2.92, 2 Co 2.92
Gd 0.8939 0.8939 0.3209  2 Co 2.72, 1 Ni 2.89
Gd 0.6405 0.6405 0.3723  2 Co 2.82, 2 Ni 2.89
Gd 0.3595 0.3595 0.6277  2 Co 2.82, 2 Ni 2.89
Gd 0.1061 0.1061 0.6791  2 Co 2.72, 1 Ni 2.89
Gd 0.3653 0.3653 0.9980  4 Ni 2.87-2.92, 2 Co 2.92
Ni 0.0343 0.0343 0.1424  1 Ni 2.57, 1 Co 2.59, 2 Gd 2.87
Ni 0.9657 0.9657 0.8576  1 Ni 2.57, 1 Co 2.59, 2 Gd 2.87

Properties
E: -5.5799 eV/atom
formation enthalpy at 0 K: -0.252 eV/atom
space group: No. 12


8.
DFT (GGA-PBE) results for crystalline GdCoSi2Ni at its relaxed geometry.

Unit cell a=5.5663 b=5.5663 c=5.5663 alpha=138.49 beta=138.49 gamma=60.16
Closest atoms and distances in Å follow each position.
Fractional coordinates of all 5 atoms:
Co 0.2500 0.7500 0.5000  4 Si 2.30
Gd 0.0000 0.0000 0.0000  8 Si 3.05, 4 Co 3.11, 4 Ni 3.11
Ni 0.7500 0.2500 0.5000  4 Si 2.30
Si 0.3728 0.3728 0.0000  2 Co 2.30, 2 Ni 2.30, 1 Si 2.45
Si 0.6272 0.6272 0.0000  2 Ni 2.30, 2 Co 2.30, 1 Si 2.45

Properties
E: -6.4503 eV/atom
space group: No. 119


9.
DFT (GGA-PBE) results for crystalline Gd2CoSi4Ni at its relaxed geometry.

Unit cell a=4.0109 b=8.3690 c=8.3690 alpha=27.97 beta=90.00 gamma=90.00
Closest atoms and distances in Å follow each position.
Fractional coordinates of all 8 atoms:
Co 0.0000 0.6806 0.6806  5 Si 2.24-2.30
Gd 0.5000 0.1062 0.1062  10 Si 3.03-3.12, 4 Co 3.09
Gd 0.0000 0.8925 0.8925  10 Si 3.05-3.17, 4 Ni 3.07
Ni 0.5000 0.3213 0.3213  5 Si 2.25-2.35
Si 0.0000 0.2486 0.2486  2 Co 2.30, 2 Ni 2.33
Si 0.5000 0.4599 0.4599  1 Ni 2.25, 2 Si 2.42
Si 0.0000 0.5427 0.5427  1 Co 2.24, 2 Si 2.42
Si 0.5000 0.7481 0.7481  2 Co 2.29, 2 Ni 2.35

Properties
E: -6.2816 eV/atom
space group: No. 38


10.
DFT (GGA-PBE) results for crystalline Gd2ZnCoNi at its relaxed geometry.

Unit cell a=5.3626 b=5.3626 c=5.3626 alpha=134.64 beta=79.79 gamma=118.34
Closest atoms and distances in Å follow each position.
Fractional coordinates of all 5 atoms:
Co 0.7761 0.7761 0.0000  1 Ni 2.47, 2 Zn 2.55
Gd 0.7922 0.4966 0.2957  3 Ni 2.85-2.95, 3 Co 2.88-2.93, 3 Zn 3.18-3.19
Gd 0.2009 0.4966 0.7044  3 Ni 2.85-2.95, 3 Co 2.88-2.93, 3 Zn 3.18-3.19
Ni 0.2257 0.2257 0.0000  1 Co 2.47, 2 Zn 2.58
Zn 0.5051 0.0050 0.5000  2 Co 2.55, 2 Ni 2.58

Properties
E: -5.0081 eV/atom
formation enthalpy at 0 K: -0.359 eV/atom
space group: No. 44


- Look up the E of the eighth one.
  -6.4503 eV/atom


- What is the E in the fourth record?
  -6.3630 eV/atom


- Which of these has the highest E?
  Gd2ZnCoNi


- Which of these has the lowest E?
  GdCoSi2Ni